This record from Alexandria via LeMat-Bulk describes a relaxed structure of ErHf2Ga. The functional is PBE.

a = 3.1117 Å, b = 3.1117 Å, c = 32.9026 Å
α = 90.00°, β = 90.00°, γ = 120.00°
Closest atoms and distances in Å follow each position.
Positions (direct):
1 Er 0.0000 0.0000 0.0000  6 Er 3.11, 2 Hf 3.16
2 Er 0.3333 0.6667 0.6667  6 Er 3.11, 2 Hf 3.16
3 Er 0.6667 0.3333 0.3333  6 Er 3.11, 2 Hf 3.16
4 Hf 0.0000 0.0000 0.0959  3 Ga 2.94, 6 Hf 3.11, 1 Er 3.16
5 Hf 0.0000 0.0000 0.9041  3 Ga 2.94, 6 Hf 3.11, 1 Er 3.16
6 Hf 0.3333 0.6667 0.5708  3 Ga 2.94, 6 Hf 3.11, 1 Er 3.16
7 Hf 0.3333 0.6667 0.7626  3 Ga 2.94, 6 Hf 3.11, 1 Er 3.16
8 Hf 0.6667 0.3333 0.2374  3 Ga 2.94, 6 Hf 3.11, 1 Er 3.16
9 Hf 0.6667 0.3333 0.4292  3 Ga 2.94, 6 Hf 3.11, 1 Er 3.16
10 Ga 0.0000 0.0000 0.5000  6 Hf 2.94, 6 Ga 3.11
11 Ga 0.3333 0.6667 0.1667  6 Hf 2.94, 6 Ga 3.11
12 Ga 0.6667 0.3333 0.8333  6 Hf 2.94, 6 Ga 3.11

ΔE_f ... 0.201 eV/atom
Space group ... R-3m (166)
N(E_F) ... 1.4956 states/eV/atom
Calculated density ... 10.724 g cm⁻³
Distance to the lowest polymorph of the same formula ... 360 meV/atom

This record from Alexandria via LeMat-Bulk describes a relaxed structure of Er2HfGa. The functional is PBE.

a = 4.5234 Å, b = 4.5234 Å, c = 4.5436 Å
α = 90.00°, β = 90.00°, γ = 90.00°
Closest atoms and distances in Å follow each position.
Positions (direct):
1 Er 0.0000 0.5000 0.0000  4 Er 3.20, 4 Hf 3.21, 4 Ga 3.21
2 Er 0.5000 0.0000 0.0000  4 Er 3.20, 4 Hf 3.21, 4 Ga 3.21
3 Hf 0.0000 0.0000 0.5000  4 Ga 3.20, 8 Er 3.21
4 Ga 0.5000 0.5000 0.5000  4 Hf 3.20, 8 Er 3.21

ΔE_f ... -0.161 eV/atom
Space group ... P4/mmm (123)
N(E_F) ... 0.6596 states/eV/atom
Calculated density ... 10.409 g cm⁻³
Distance to the lowest polymorph of the same formula ... 61 meV/atom

This record from Alexandria via LeMat-Bulk describes a relaxed structure of ErHf2Ga6. The functional is PBE.

a = 7.7041 Å, b = 7.7041 Å, c = 3.1848 Å
α = 90.00°, β = 90.00°, γ = 120.00°
Closest atoms and distances in Å follow each position.
Positions (direct):
1 Er 0.0000 0.0000 0.0000  12 Ga 3.04, 2 Er 3.18
2 Hf 0.3333 0.6667 0.0000  12 Ga 3.01, 2 Hf 3.18
3 Hf 0.6667 0.3333 0.0000  12 Ga 3.01, 2 Hf 3.18
4 Ga 0.0000 0.3366 0.5000  3 Ga 2.52-2.59
5 Ga 0.0000 0.6634 0.5000  3 Ga 2.52-2.59
6 Ga 0.3366 0.0000 0.5000  3 Ga 2.52-2.59
7 Ga 0.3366 0.3366 0.5000  3 Ga 2.52-2.59
8 Ga 0.6634 0.0000 0.5000  3 Ga 2.52-2.59
9 Ga 0.6634 0.6634 0.5000  3 Ga 2.52-2.59

ΔE_f ... -0.385 eV/atom
Space group ... P6/mmm (191)
N(E_F) ... 0.3229 states/eV/atom
Calculated density ... 9.561 g cm⁻³
Distance to the lowest polymorph of the same formula ... 0 meV/atom

This record from Alexandria via LeMat-Bulk describes a relaxed structure of ErHfGa6. The functional is PBE.

a = 4.1834 Å, b = 4.1834 Å, c = 8.3348 Å
α = 90.00°, β = 90.00°, γ = 90.00°
Closest atoms and distances in Å follow each position.
Positions (direct):
1 Er 0.0000 0.0000 0.0000  12 Ga 2.96-2.99
2 Hf 0.0000 0.0000 0.5000  12 Ga 2.91-2.96
3 Ga 0.0000 0.5000 0.2571  2 Hf 2.91, 8 Ga 2.91-2.99, 2 Er 2.99
4 Ga 0.0000 0.5000 0.7429  8 Ga 2.91-2.99, 2 Hf 2.91, 2 Er 2.99
5 Ga 0.5000 0.0000 0.2571  2 Hf 2.91, 8 Ga 2.91-2.99, 2 Er 2.99
6 Ga 0.5000 0.0000 0.7429  8 Ga 2.91-2.99, 2 Hf 2.91, 2 Er 2.99
7 Ga 0.5000 0.5000 0.0000  4 Er 2.96, 8 Ga 2.99
8 Ga 0.5000 0.5000 0.5000  8 Ga 2.91, 4 Hf 2.96

ΔE_f ... -0.447 eV/atom
Space group ... P4/mmm (123)
N(E_F) ... 0.5243 states/eV/atom
Calculated density ... 8.698 g cm⁻³

This record from Alexandria via LeMat-Bulk describes a relaxed structure of ErHfGa. The functional is PBE.

a = 4.2214 Å, b = 4.2214 Å, c = 7.7853 Å
α = 90.00°, β = 90.00°, γ = 90.00°
Closest atoms and distances in Å follow each position.
Positions (direct):
1 Er 0.2500 0.2500 0.1538  5 Ga 3.06-3.07, 4 Hf 3.42
2 Er 0.7500 0.7500 0.8462  5 Ga 3.06-3.07, 4 Hf 3.42
3 Hf 0.2500 0.7500 0.5000  4 Ga 2.92, 4 Hf 2.98
4 Hf 0.7500 0.2500 0.5000  4 Ga 2.92, 4 Hf 2.98
5 Ga 0.2500 0.2500 0.7593  4 Hf 2.92, 5 Er 3.06-3.07
6 Ga 0.7500 0.7500 0.2407  4 Hf 2.92, 5 Er 3.06-3.07

ΔE_f ... -0.394 eV/atom
Space group ... P4/nmm (129)
N(E_F) ... 0.9111 states/eV/atom
Calculated density ... 9.946 g cm⁻³
Distance to the lowest polymorph of the same formula ... 0 meV/atom

This record from Alexandria via LeMat-Bulk describes a relaxed structure of ErHf2Ga. The functional is PBE.

a = 4.4092 Å, b = 4.4092 Å, c = 4.4248 Å
α = 90.00°, β = 90.00°, γ = 90.00°
Closest atoms and distances in Å follow each position.
Positions (direct):
1 Er 0.0000 0.0000 0.0000  4 Ga 3.12, 8 Hf 3.12
2 Hf 0.0000 0.5000 0.5000  4 Hf 3.12, 4 Er 3.12, 4 Ga 3.12
3 Hf 0.5000 0.0000 0.5000  4 Hf 3.12, 4 Er 3.12, 4 Ga 3.12
4 Ga 0.5000 0.5000 0.0000  4 Er 3.12, 8 Hf 3.12

ΔE_f ... -0.159 eV/atom
Space group ... P4/mmm (123)
N(E_F) ... 0.7750 states/eV/atom
Calculated density ... 11.465 g cm⁻³
Distance to the lowest polymorph of the same formula ... 0 meV/atom

This record from Alexandria via LeMat-Bulk describes a relaxed structure of ErHfGa. The functional is PBE.

a = 4.8152 Å, b = 4.8152 Å, c = 3.4564 Å
α = 90.00°, β = 90.00°, γ = 120.00°
Closest atoms and distances in Å follow each position.
Positions (direct):
1 Er 0.0000 0.0000 0.0000  6 Ga 3.27, 6 Hf 3.27, 2 Er 3.46
2 Hf 0.6667 0.3333 0.5000  3 Ga 2.78
3 Ga 0.3333 0.6667 0.5000  3 Hf 2.78

ΔE_f ... -0.131 eV/atom
Space group ... P-6m2 (187)
N(E_F) ... 0.9625 states/eV/atom
Calculated density ... 9.941 g cm⁻³
Distance to the lowest polymorph of the same formula ... 263 meV/atom

This record from Alexandria via LeMat-Bulk describes a relaxed structure of ErHf2Ga6. The functional is PBE.

a = 7.5647 Å, b = 7.5647 Å, c = 7.5647 Å
α = 148.30°, β = 127.86°, γ = 62.32°
Closest atoms and distances in Å follow each position.
Positions (direct):
1 Er 0.0000 0.0000 0.0000  4 Ga 2.92
2 Hf 0.3814 0.8814 0.5000  10 Ga 2.82-3.00, 1 Hf 3.07
3 Hf 0.6186 0.1186 0.5000  10 Ga 2.82-3.00, 1 Hf 3.07
4 Ga 0.0136 0.3094 0.7042  4 Ga 2.56-2.72, 1 Hf 2.82
5 Ga 0.3093 0.5000 0.8093  3 Ga 2.54-2.56
6 Ga 0.3948 0.6906 0.7042  4 Ga 2.56-2.72, 1 Hf 2.82
7 Ga 0.6052 0.3094 0.2958  4 Ga 2.56-2.72, 1 Hf 2.82
8 Ga 0.6907 0.5000 0.1907  3 Ga 2.54-2.56
9 Ga 0.9864 0.6906 0.2958  4 Ga 2.56-2.72, 1 Hf 2.82

ΔE_f ... -0.370 eV/atom
Space group ... Immm (71)
N(E_F) ... 0.4677 states/eV/atom
Calculated density ... 8.800 g cm⁻³
Distance to the lowest polymorph of the same formula ... 15 meV/atom

This record from Alexandria via LeMat-Bulk describes a relaxed structure of ErHfGa4. The functional is PBE.

a = 7.8127 Å, b = 4.9474 Å, c = 7.8143 Å
α = 90.00°, β = 113.77°, γ = 90.00°
Closest atoms and distances in Å follow each position.
Positions (direct):
1 Er 0.0000 0.0000 0.0000  8 Ga 2.86-2.93
2 Er 0.5000 0.5000 0.0000  8 Ga 2.86-2.93
3 Hf 0.0000 0.5000 0.5000  8 Ga 2.76-2.82
4 Hf 0.5000 0.0000 0.5000  8 Ga 2.76-2.82
5 Ga 0.0998 0.5000 0.8809  1 Hf 2.76, 3 Er 2.86-2.88, 1 Ga 2.87
6 Ga 0.1136 0.0000 0.4055  1 Ga 2.73, 3 Hf 2.80-2.82, 1 Er 2.93
7 Ga 0.3864 0.5000 0.5945  1 Ga 2.73, 3 Hf 2.80-2.82, 1 Er 2.93
8 Ga 0.4002 0.0000 0.1191  1 Hf 2.76, 3 Er 2.86-2.88, 1 Ga 2.87
9 Ga 0.5998 0.0000 0.8809  1 Hf 2.76, 3 Er 2.86-2.88, 1 Ga 2.87
10 Ga 0.6136 0.5000 0.4055  1 Ga 2.73, 3 Hf 2.80-2.82, 1 Er 2.93
11 Ga 0.8864 0.0000 0.5945  1 Ga 2.73, 3 Hf 2.80-2.82, 1 Er 2.93
12 Ga 0.9002 0.5000 0.1191  1 Hf 2.76, 3 Er 2.86-2.88, 1 Ga 2.87

ΔE_f ... -0.031 eV/atom
Space group ... C2/m (12)
N(E_F) ... 0.4324 states/eV/atom
Calculated density ... 7.505 g cm⁻³
Distance to the lowest polymorph of the same formula ... 388 meV/atom

This record from Alexandria via LeMat-Bulk describes a relaxed structure of ErHfGa2. The functional is PBE.

a = 3.4590 Å, b = 3.4590 Å, c = 25.2416 Å
α = 90.00°, β = 90.00°, γ = 120.00°
Closest atoms and distances in Å follow each position.
Positions (direct):
1 Er 0.0000 0.0000 0.0000  6 Ga 2.97
2 Er 0.3333 0.6667 0.6667  6 Ga 2.97
3 Er 0.6667 0.3333 0.3333  6 Ga 2.97
4 Hf 0.0000 0.0000 0.5000  6 Ga 2.83
5 Hf 0.3333 0.6667 0.1667  6 Ga 2.83
6 Hf 0.6667 0.3333 0.8333  6 Ga 2.83
7 Ga 0.0000 0.0000 0.2463  3 Hf 2.83, 3 Er 2.97
8 Ga 0.0000 0.0000 0.7537  3 Hf 2.83, 3 Er 2.97
9 Ga 0.3333 0.6667 0.4203  3 Hf 2.83, 3 Er 2.97
10 Ga 0.3333 0.6667 0.9130  3 Hf 2.83, 3 Er 2.97
11 Ga 0.6667 0.3333 0.0870  3 Hf 2.83, 3 Er 2.97
12 Ga 0.6667 0.3333 0.5797  3 Hf 2.83, 3 Er 2.97

ΔE_f ... -0.300 eV/atom
Space group ... R-3m (166)
N(E_F) ... 0.7337 states/eV/atom
Calculated density ... 9.241 g cm⁻³
Distance to the lowest polymorph of the same formula ... 113 meV/atom

This record from Alexandria via LeMat-Bulk describes a relaxed structure of Er2HfGa. The functional is PBE.

a = 3.3357 Å, b = 3.3357 Å, c = 33.5238 Å
α = 90.00°, β = 90.00°, γ = 120.00°
Closest atoms and distances in Å follow each position.
Positions (direct):
1 Er 0.0000 0.0000 0.0891  1 Ga 2.99, 3 Hf 3.24, 6 Er 3.34
2 Er 0.0000 0.0000 0.9109  1 Ga 2.99, 3 Hf 3.24, 6 Er 3.34
3 Er 0.3333 0.6667 0.5776  1 Ga 2.99, 3 Hf 3.24, 6 Er 3.34
4 Er 0.3333 0.6667 0.7557  1 Ga 2.99, 3 Hf 3.24, 6 Er 3.34
5 Er 0.6667 0.3333 0.2443  1 Ga 2.99, 3 Hf 3.24, 6 Er 3.34
6 Er 0.6667 0.3333 0.4224  1 Ga 2.99, 3 Hf 3.24, 6 Er 3.34
7 Hf 0.0000 0.0000 0.5000  6 Er 3.24, 6 Hf 3.34
8 Hf 0.3333 0.6667 0.1667  6 Er 3.24, 6 Hf 3.34
9 Hf 0.6667 0.3333 0.8333  6 Er 3.24, 6 Hf 3.34
10 Ga 0.0000 0.0000 0.0000  2 Er 2.99, 6 Ga 3.34
11 Ga 0.3333 0.6667 0.6667  2 Er 2.99, 6 Ga 3.34
12 Ga 0.6667 0.3333 0.3333  2 Er 2.99, 6 Ga 3.34

ΔE_f ... 0.167 eV/atom
Space group ... R-3m (166)
N(E_F) ... 1.2829 states/eV/atom
Calculated density ... 8.986 g cm⁻³
Distance to the lowest polymorph of the same formula ... 389 meV/atom

This record from Alexandria via LeMat-Bulk describes a relaxed structure of ErHfGa3. The functional is PBE.

a = 12.6319 Å, b = 12.6319 Å, c = 4.0252 Å
α = 90.00°, β = 90.00°, γ = 162.05°
Closest atoms and distances in Å follow each position.
Positions (direct):
1 Er 0.0766 0.9234 0.7500  12 Ga 3.05-3.30
2 Er 0.9234 0.0766 0.2500  12 Ga 3.05-3.30
3 Hf 0.2073 0.7927 0.2500  7 Ga 2.75-2.88
4 Hf 0.7927 0.2073 0.7500  7 Ga 2.75-2.88
5 Ga 0.3174 0.6826 0.2500  2 Ga 2.50, 1 Hf 2.75
6 Ga 0.3765 0.6235 0.7500  3 Ga 2.44-2.50
7 Ga 0.4742 0.5258 0.7500  3 Ga 2.39-2.44
8 Ga 0.5258 0.4742 0.2500  3 Ga 2.39-2.44
9 Ga 0.6235 0.3765 0.2500  3 Ga 2.44-2.50
10 Ga 0.6826 0.3174 0.7500  2 Ga 2.50, 1 Hf 2.75

ΔE_f ... -0.542 eV/atom
Space group ... Cmcm (63)
N(E_F) ... 0.5330 states/eV/atom
Calculated density ... 9.308 g cm⁻³

This record from Alexandria via LeMat-Bulk describes a relaxed structure of ErHfGa2. The functional is PBE.

a = 6.8687 Å, b = 6.8687 Å, c = 6.8687 Å
α = 90.00°, β = 90.00°, γ = 90.00°
Closest atoms and distances in Å follow each position.
Positions (direct):
1 Er 0.0000 0.0000 0.0000  8 Ga 2.97
2 Er 0.0000 0.5000 0.5000  8 Ga 2.97
3 Er 0.5000 0.0000 0.5000  8 Ga 2.97
4 Er 0.5000 0.5000 0.0000  8 Ga 2.97
5 Hf 0.0000 0.0000 0.5000  8 Ga 2.97
6 Hf 0.0000 0.5000 0.0000  8 Ga 2.97
7 Hf 0.5000 0.0000 0.0000  8 Ga 2.97
8 Hf 0.5000 0.5000 0.5000  8 Ga 2.97
9 Ga 0.2500 0.2500 0.2500  4 Hf 2.97, 4 Er 2.97
10 Ga 0.2500 0.2500 0.7500  4 Hf 2.97, 4 Er 2.97
11 Ga 0.2500 0.7500 0.2500  4 Hf 2.97, 4 Er 2.97
12 Ga 0.2500 0.7500 0.7500  4 Hf 2.97, 4 Er 2.97
13 Ga 0.7500 0.2500 0.2500  4 Hf 2.97, 4 Er 2.97
14 Ga 0.7500 0.2500 0.7500  4 Hf 2.97, 4 Er 2.97
15 Ga 0.7500 0.7500 0.2500  4 Hf 2.97, 4 Er 2.97
16 Ga 0.7500 0.7500 0.7500  4 Hf 2.97, 4 Er 2.97

ΔE_f ... -0.380 eV/atom
Space group ... Fm-3m (225)
N(E_F) ... 0.6582 states/eV/atom
Calculated density ... 9.945 g cm⁻³
Distance to the lowest polymorph of the same formula ... 33 meV/atom